Computed, not measured: a geometry-optimized CePmSb2 structure at the GGA-PBE level of DFT.

Lattice parameters (Å, degrees): 4.4187 4.4187 23.2829 90.00 90.00 120.00
Closest atoms and distances in Å follow each position.
Space group R3m (No. 160, hexagonal axes)
Asymmetric unit:
Ce  0.0000  0.0000  0.0000 (multiplicity 3)  6 Sb 3.19-3.25
Pm  0.0000  0.0000  0.8287 (multiplicity 3)  6 Sb 3.15-3.23
Sb  0.0000  0.0000  0.2468 (multiplicity 3)  3 Pm 3.23, 3 Ce 3.25
Sb  0.0000  0.0000  0.4159 (multiplicity 3)  3 Pm 3.15, 3 Ce 3.19

Crystal system = trigonal
V = 131 Å³/f.u.
Final energy = -5.7287 eV per atom
E_form (uncorrected) = -96 kJ/mol of atoms